Material: SmAs2Pt5
Method: DFT, GGA-PBE
State: optimized geometry

Its calculated formation energy is -574 meV per atom.

```
8
Lattice="5.3779 -3.4055 0.0000 5.3779 3.4055 0.0000 -1.1312 0.0000 4.0350" Properties=species:S:1:pos:R:3 pbc="T T T"
Sm 0.0000 0.0000 0.0000
As 1.8671 0.0000 3.2579
As 7.7575 0.0000 0.7771
Pt 3.4919 1.4440 1.6965
Pt 6.1327 1.4440 2.3385
Pt 5.3779 0.0000 0.0000
Pt 3.4919 -1.4440 1.6965
Pt 6.1327 -1.4440 2.3385
```

Material: SmAsPt3
Method: DFT, GGA-PBE
State: optimized geometry

Its calculated formation energy is -851 meV per atom.

```
5
Lattice="-2.0489 2.0489 5.6659 2.0489 -2.0489 5.6659 2.0489 2.0489 -5.6659" Properties=species:S:1:pos:R:3 pbc="T T T"
Sm 0.0000 0.0000 0.0000
As 0.0000 0.0000 7.1126
Pt 2.0489 0.0000 2.8565
Pt 0.0000 0.0000 4.7375
Pt 0.0000 2.0489 2.8565
```

Material: SmAs2Pt4
Method: DFT, GGA-PBE
State: optimized geometry

Its calculated formation energy is -638 meV per atom.

```
14
Lattice="7.8942 0.0000 0.0000 0.0000 7.8942 0.0000 0.0000 0.0000 4.0375" Properties=species:S:1:pos:R:3 pbc="T T T"
Sm 0.0000 0.0000 0.0000
Sm 3.9471 3.9471 2.0188
As 1.6907 1.6907 2.0188
As 2.2564 5.6378 0.0000
As 5.6378 2.2564 0.0000
As 6.2035 6.2035 2.0188
Pt 0.7151 5.2182 2.0188
Pt 1.2711 3.2319 0.0000
Pt 2.6760 7.1790 2.0188
Pt 3.2319 1.2711 0.0000
Pt 4.6622 6.6231 0.0000
Pt 5.2182 0.7151 2.0188
Pt 6.6231 4.6622 0.0000
Pt 7.1790 2.6760 2.0188
```

Material: Sm2AsPt
Method: DFT, GGA-PBE
State: optimized geometry

Its calculated formation energy is -1279 meV per atom. The calculation puts the excess energy over the best structure of this formula in the dataset at 0.0 meV per atom.

```
8
Lattice="2.0335 -11.6245 0.0000 2.0335 11.6245 0.0000 0.0000 0.0000 4.2739" Properties=species:S:1:pos:R:3 pbc="T T T"
Sm 2.0335 10.1329 3.2054
Sm 2.0335 4.2757 3.2054
Sm 2.0335 -4.2757 1.0685
Sm 2.0335 -10.1329 1.0685
As 2.0335 7.2368 3.2054
As 2.0335 -7.2368 1.0685
Pt 2.0335 0.9968 3.2054
Pt 2.0335 -0.9968 1.0685
```

Material: SmAsPt
Method: DFT, GGA-PBE
State: optimized geometry

Its calculated formation energy is -1247 meV per atom.

```
12
Lattice="4.3329 0.0000 0.0000 -2.1665 3.7524 0.0000 0.0000 0.0000 15.7601" Properties=species:S:1:pos:R:3 pbc="T T T"
Sm 0.0000 0.0000 0.0000
Sm 0.0000 0.0000 3.9400
Sm 0.0000 0.0000 7.8800
Sm 0.0000 0.0000 11.8201
As 0.0000 2.5016 1.8591
As 0.0000 2.5016 6.0210
As 2.1665 1.2508 9.7391
As 2.1665 1.2508 13.9010
Pt 0.0000 2.5016 9.9805
Pt 0.0000 2.5016 13.6596
Pt 2.1665 1.2508 2.1005
Pt 2.1665 1.2508 5.7795
```

Material: Sr2SmAs3Pt12
Method: DFT, GGA-PBE
State: optimized geometry

Its calculated formation energy is -202 meV per atom.

```
18
Lattice="4.2756 2.4685 6.1783 -4.2756 2.4685 6.1783 0.0000 -4.9370 6.1783" Properties=species:S:1:pos:R:3 pbc="T T T"
Sr 0.0000 0.0000 1.8432
Sr 0.0000 0.0000 16.6919
Sm 0.0000 0.0000 9.2675
As -2.1378 -1.2342 6.1783
As -2.1378 1.2342 12.3567
As 0.0000 2.4685 6.1783
Pt -2.2993 -1.3275 8.5862
Pt 0.0000 -2.2165 5.5867
Pt -1.9196 1.1083 5.5867
Pt 0.0000 -2.6550 9.9488
Pt -2.2993 1.3275 9.9488
Pt -1.9196 -1.1083 12.9483
Pt 1.9196 1.1083 5.5867
Pt 2.2993 -1.3275 8.5862
Pt 0.0000 2.6550 8.5862
Pt 1.9196 -1.1083 12.9484
Pt 0.0000 2.2165 12.9484
Pt 2.2993 1.3275 9.9488
```

Material: Sm8Te4AsPt3
Method: DFT, GGA-PBE
State: optimized geometry

Its raw formation energy is -1.303 eV/atom.

```
16
Lattice="4.2518 2.4548 7.3912 -4.2518 2.4548 7.3912 0.0000 -4.9095 7.3912" Properties=species:S:1:pos:R:3 pbc="T T T"
Sm -2.1568 -1.2452 12.7036
Sm 0.0000 0.0000 5.2595
Sm 0.0000 -2.4904 9.4700
Sm -2.1568 1.2452 9.4700
Sm 2.1568 -1.2452 12.7036
Sm 0.0000 2.4904 12.7036
Sm 0.0000 0.0000 16.9141
Sm 2.1568 1.2452 9.4700
Te 0.0000 0.0000 0.0000
Te -2.1259 -1.2274 7.3912
Te -2.1259 1.2274 14.7824
Te 0.0000 2.4548 7.3912
As 0.0000 0.0000 11.0868
Pt -4.2518 0.0000 11.0868
Pt -2.1259 1.2274 3.6956
Pt 2.1259 1.2274 3.6956
```

Material: Sm6Te3AsPt2
Method: DFT, GGA-PBE
State: optimized geometry

Its raw formation energy is -1.327 eV/atom.

```
12
Lattice="3.6806 -6.3935 0.0000 3.6806 6.3935 0.0000 -2.4845 0.0000 7.3724" Properties=species:S:1:pos:R:3 pbc="T T T"
Sm -0.0422 2.1694 5.7627
Sm 1.1700 0.0000 1.6047
Sm -0.0422 -2.1694 5.7627
Sm 4.9189 2.1694 1.6097
Sm 3.7067 0.0000 5.7676
Sm 4.9189 -2.1694 1.6097
Te -1.2423 0.0000 3.6862
Te 2.4384 2.0846 3.6862
Te 2.4384 -2.0846 3.6862
As 3.6806 0.0000 0.0000
Pt 3.6806 4.2513 0.0000
Pt 3.6806 -4.2513 0.0000
```

Material: SmTl2As2Pt7
Method: DFT, GGA-PBE
State: optimized geometry

Its calculated formation energy is -452 meV per atom.

```
12
Lattice="2.8437 -2.8428 0.0000 2.8437 2.8428 0.0000 -2.6543 0.0000 15.6516" Properties=species:S:1:pos:R:3 pbc="T T T"
Sm 0.0000 0.0000 0.0000
Tl 0.0458 0.0000 6.6307
Tl 2.9873 0.0000 9.0210
As 0.1851 0.0000 11.9472
As 2.8480 0.0000 3.7044
Pt 1.4248 1.4210 2.2226
Pt 0.1451 0.0000 9.5379
Pt 1.6084 1.4210 13.4290
Pt 2.8437 0.0000 0.0000
Pt 1.4248 -1.4210 2.2226
Pt 2.8881 0.0000 6.1137
Pt 1.6084 -1.4210 13.4290
```

Material: Sm2ZnAs3Pt4
Method: DFT, GGA-PBE
State: optimized geometry

Its calculated formation energy is -854 meV per atom.

```
10
Lattice="4.3079 0.0000 0.0000 0.0000 4.3079 0.0000 0.0000 0.0000 10.3767" Properties=species:S:1:pos:R:3 pbc="T T T"
Sm 0.0000 2.1540 2.4989
Sm 2.1540 0.0000 7.8778
Zn 0.0000 0.0000 5.1884
As 0.0000 2.1540 8.9681
As 2.1540 0.0000 1.4086
As 2.1540 2.1540 5.1884
Pt 0.0000 0.0000 0.0000
Pt 0.0000 2.1540 6.5413
Pt 2.1540 0.0000 3.8354
Pt 2.1540 2.1540 0.0000
```

Material: SnAsPt
Method: DFT, GGA-PBE
State: optimized geometry

Its calculated formation energy is -479 meV per atom.

```
12
Lattice="6.5257 0.0000 0.0000 0.0000 6.5208 0.0000 -2.7689 0.0000 5.9667" Properties=species:S:1:pos:R:3 pbc="T T T"
Sn -0.0020 0.8705 2.1797
Sn -1.3865 2.3899 5.1631
Sn 5.1433 4.1309 0.8037
Sn 3.7588 5.6503 3.7870
As 0.3632 4.1283 4.0366
As 1.7476 5.6529 1.0532
As 2.0091 0.8679 4.9135
As 3.3936 2.3925 1.9302
Pt 1.0507 3.3228 1.7462
Pt -0.3337 6.4584 4.7295
Pt 4.0905 0.0624 1.2372
Pt 2.7060 3.1980 4.2206
```

Material: Sn2As2Pt
Method: DFT, GGA-PBE
State: optimized geometry

Its calculated formation energy is -114 meV per atom.

```
10
Lattice="6.3181 0.0000 0.0000 0.0000 6.3181 0.0000 0.0000 0.0000 5.9300" Properties=species:S:1:pos:R:3 pbc="T T T"
Sn 1.1827 1.9764 0.0000
Sn 1.9764 5.1354 0.0000
Sn 4.3418 1.1827 0.0000
Sn 5.1354 4.3418 0.0000
As 0.8690 2.2901 2.9650
As 2.2901 5.4491 2.9650
As 4.0281 0.8690 2.9650
As 5.4491 4.0281 2.9650
Pt 0.0000 0.0000 2.9650
Pt 3.1591 3.1591 2.9650
```

Repeat the second record exactly.
Material: SmAsPt3
Method: DFT, GGA-PBE
State: optimized geometry

Its calculated formation energy is -851 meV per atom.

```
5
Lattice="-2.0489 2.0489 5.6659 2.0489 -2.0489 5.6659 2.0489 2.0489 -5.6659" Properties=species:S:1:pos:R:3 pbc="T T T"
Sm 0.0000 0.0000 0.0000
As 0.0000 0.0000 7.1126
Pt 2.0489 0.0000 2.8565
Pt 0.0000 0.0000 4.7375
Pt 0.0000 2.0489 2.8565
```

Please write out number 3 again, unchanged.
Material: SmAs2Pt4
Method: DFT, GGA-PBE
State: optimized geometry

Its calculated formation energy is -638 meV per atom.

```
14
Lattice="7.8942 0.0000 0.0000 0.0000 7.8942 0.0000 0.0000 0.0000 4.0375" Properties=species:S:1:pos:R:3 pbc="T T T"
Sm 0.0000 0.0000 0.0000
Sm 3.9471 3.9471 2.0188
As 1.6907 1.6907 2.0188
As 2.2564 5.6378 0.0000
As 5.6378 2.2564 0.0000
As 6.2035 6.2035 2.0188
Pt 0.7151 5.2182 2.0188
Pt 1.2711 3.2319 0.0000
Pt 2.6760 7.1790 2.0188
Pt 3.2319 1.2711 0.0000
Pt 4.6622 6.6231 0.0000
Pt 5.2182 0.7151 2.0188
Pt 6.6231 4.6622 0.0000
Pt 7.1790 2.6760 2.0188
```